## AcZn2HgPd2 (GGA-PBE)

Data for a relaxed AcZn2HgPd2 crystal.

Cell: 4.8238 4.8238 6.0351 Å, 90.00 90.00 90.00°
Last column: nearest neighbours and their distance in Å.
Element x y z (fractional)
1 Ac 0.0000 0.0000 0.0000  2 Hg 3.02
2 Zn 0.0000 0.5000 0.5000  2 Hg 2.41
3 Zn 0.5000 0.0000 0.5000  2 Hg 2.41
4 Hg 0.0000 0.0000 0.5000  4 Zn 2.41
5 Pd 0.5000 0.5000 0.2446  4 Zn 2.86, 2 Pd 2.95-3.08
6 Pd 0.5000 0.5000 0.7554  4 Zn 2.86, 2 Pd 2.95-3.08

Output
ΔH_f (0 K) ... -27 kJ/mol of formula units
DOS at the Fermi energy ... 2.61 states/eV per cell
V ... 23.40 Å³/atom
Space group ... P4/mmm (123)